Material: Na8B13C3
Method: DFT, GGA-PBE
State: relaxed Values from VASP.

Structure (Quantum ESPRESSO input):
```
&SYSTEM
  ibrav = 0, nat = 24, ntyp = 3
/
ATOMIC_SPECIES
B 10.81 B.upf
Na 22.99 Na.upf
C 12.01 C.upf
CELL_PARAMETERS angstrom
8.713 0.204 -2.554
8.146 3.097 -2.554
0.001 0.000 10.222
ATOMIC_POSITIONS angstrom
B 2.109 0.413 3.457
B 6.320 1.237 3.442
Na 4.174 0.817 0.006
B 14.757 2.889 -3.437
B 6.333 1.240 -1.669
B 14.748 2.887 3.445
C 2.109 0.413 1.792
B 14.749 2.887 -1.670
Na 4.207 0.824 5.111
B 10.537 2.063 3.354
C 10.537 2.063 1.706
Na 8.445 1.653 5.103
B 6.324 1.238 6.784
C 2.106 0.412 6.727
B 14.751 2.888 1.673
Na 12.638 2.474 0.012
B 2.108 0.413 8.356
B 10.538 2.063 -1.562
Na 0.006 0.001 5.111
B 6.319 1.237 1.672
B 10.539 2.063 6.820
Na 0.045 0.009 0.005
Na 12.630 2.473 5.105
Na 8.438 1.652 0.013
```

Properties
Relative energy among the computed polymorphs   2.22 kJ per mole of atoms
Space group   Cm (8)

***

Material: Mn4TeW
Method: DFT, GGA-PBE
State: relaxed Values from VASP.

Structure (Quantum ESPRESSO input):
```
&SYSTEM
  ibrav = 0, nat = 6, ntyp = 3
/
ATOMIC_SPECIES
W 183.84 W.upf
Mn 54.94 Mn.upf
Te 127.60 Te.upf
CELL_PARAMETERS angstrom
1.709 -0.247 4.561
-2.462 -2.489 3.396
1.781 -4.205 1.712
ATOMIC_POSITIONS angstrom
W 0.000 0.000 0.000
Mn 0.385 -2.595 3.615
Te 0.772 -5.206 7.252
Mn 1.283 -4.717 4.479
Mn -0.858 -3.851 5.328
Mn 1.247 -2.720 5.916
```

Properties
VASP energy   -8.429 eV/atom
Space group   F-43m (216)

***

Material: U3RuS6
Method: DFT, GGA-PBE
State: relaxed Values from VASP.

Structure (Quantum ESPRESSO input):
```
&SYSTEM
  ibrav = 0, nat = 20, ntyp = 3
/
ATOMIC_SPECIES
U 238.03 U.upf
S 32.06 S.upf
Ru 101.07 Ru.upf
CELL_PARAMETERS angstrom
-7.245 0.282 2.366
0.616 -7.536 -0.996
3.467 0.576 6.768
ATOMIC_POSITIONS angstrom
U 0.294 -6.113 4.791
U -1.318 -4.576 0.886
S -1.441 -7.206 0.200
S -3.629 -2.698 5.333
U -1.844 -2.102 7.252
S 0.029 -3.696 5.935
S -1.039 -0.985 4.677
U 1.481 -1.813 4.241
Ru 0.000 0.000 0.000
S -2.123 -5.693 3.461
S -5.926 -0.025 4.349
S -1.721 0.528 7.938
S -3.191 -2.982 2.203
U -4.643 -4.865 3.897
S 2.764 -6.653 3.789
U -3.455 -0.565 3.347
S 3.104 -1.773 6.423
S 0.467 -3.980 2.805
Ru -1.581 -3.339 4.069
S -6.266 -4.905 1.715
```

Properties
VASP energy   -7.911 eV/atom
Space group   R-3 (148)

***

Material: SmHoTh2
Method: DFT, GGA-PBE
State: relaxed Values from VASP.

Structure (Quantum ESPRESSO input):
```
&SYSTEM
  ibrav = 0, nat = 4, ntyp = 3
/
ATOMIC_SPECIES
Sm 150.36 Sm.upf
Th 232.04 Th.upf
Ho 164.93 Ho.upf
CELL_PARAMETERS angstrom
-0.896 -5.002 -0.730
4.618 -0.553 -1.877
1.750 -0.984 4.596
ATOMIC_POSITIONS angstrom
Sm 2.736 -3.269 0.995
Th 2.309 -0.277 -0.938
Th 0.875 -0.492 2.298
Ho -0.448 -2.501 -0.365
```

Properties
Relative energy among the computed polymorphs   2.82 kJ per mole of atoms
Space group   P4/mmm (123)